1.
This record from Alexandria via LeMat-Bulk describes a relaxed K2InOsPd crystal. The functional is PBE-GGA.

Cell: 6.264 6.264 5.029 Å, 90.00 90.00 90.00°
Positions (direct):
1 K 0.000 0.500 0.000
2 K 0.500 0.000 0.000
3 In 0.000 0.000 0.000
4 Os 0.000 0.000 0.500
5 Pd 0.500 0.500 0.500

Volume, Å³/cell: 197.3
Energy relative to the elements, meV/atom: 1335
VASP energy, eV for the cell shown: -14.68
Space group: P4/mmm (123)

=====

2.
This record from Alexandria via LeMat-Bulk describes a relaxed KInOs2Pt crystal. The functional is PBE-GGA.

Cell: 5.062 5.062 5.095 Å, 90.00 90.00 90.00°
Positions (direct):
1 K 0.000 0.000 0.000
2 In 0.500 0.500 0.500
3 Os 0.000 0.500 0.500
4 Os 0.500 0.000 0.500
5 Pt 0.500 0.500 0.000

Volume, Å³/cell: 130.6
Energy relative to the elements, meV/atom: 2010
VASP energy, eV for the cell shown: -22.29
Space group: P4/mmm (123)

=====

3.
This record from Alexandria via LeMat-Bulk describes a relaxed KRbInOs2 crystal. The functional is PBE-GGA.

Cell: 5.126 5.126 5.495 Å, 90.00 90.00 90.00°
Positions (direct):
1 K 0.000 0.000 0.000
2 Rb 0.000 0.000 0.500
3 In 0.500 0.500 0.500
4 Os 0.000 0.500 0.000
5 Os 0.500 0.000 0.000

Volume, Å³/cell: 144.4
Energy relative to the elements, meV/atom: 2699
VASP energy, eV for the cell shown: -13.77
Space group: P4/mmm (123)

=====

4.
This record from Alexandria via LeMat-Bulk describes a relaxed KInSbOs2 crystal. The functional is PBE-GGA.

Cell: 4.980 4.980 5.824 Å, 90.00 90.00 90.00°
Positions (direct):
1 K 0.000 0.000 0.000
2 In 0.500 0.500 0.000
3 Sb 0.500 0.500 0.500
4 Os 0.000 0.500 0.500
5 Os 0.500 0.000 0.500

Volume, Å³/cell: 144.5
VASP energy, eV for the cell shown: -22.75
Space group: P4/mmm (123)